Compound: CdIrBr
Source: the Alexandria database
Functional: PBEsol
Structure: relaxed

Cell and atoms, written as POSCAR:
```
CdIrBr
1.0
3.161 0.000 0.000
0.000 4.467 0.000
0.000 -2.234 3.869
Cd Br Ir
1 1 1
Cartesian
0.000 0.000 2.579 Cd
1.580 0.000 0.000 Br
1.580 2.234 1.290 Ir
```

## Properties
- V (Å³/f.u.) = 54.6
- E_form (uncorrected) (eV per atom) = 0.599
- energy above the most stable polymorph in this dataset (meV per atom) = 0.0
- density (g/cm³) = 11.69
- E_tot (eV/f.u.) = -11.1